First-principles (PBE-GGA) data for an optimized crystal structure of PuSb2Te, as listed in Alexandria.

Output
* ΔE_f (raw): -0.33 eV/atom
* D(E_F): 10.64 states/eV per cell
* space group: P4/mmm, No. 123
* E: -6.760 eV per atom

Cell lengths 4.3238, 4.3238, 6.0286 Å; angles 90.00, 90.00, 90.00 degrees
Closest atoms and distances in Å follow each position.
Sites, in units of the cell vectors:
Pu (0.0000, 0.0000, 0.0000)  2 Te 3.01
Sb (0.5000, 0.5000, 0.2439)  2 Sb 2.94-3.09
Sb (0.5000, 0.5000, 0.7561)  2 Sb 2.94-3.09
Te (0.0000, 0.0000, 0.5000)  2 Pu 3.01